A plane-wave DFT calculation with PBE-GGA was carried out for a relaxed TiCd2Pd4 crystal.

- ΔH_f (0 K): -0.3172 eV per atom
- Space-group type: No. 139
- Total energy: -32.72 eV/f.u.

Cell: 4.156 4.156 7.724 Å, 105.61 105.61 90.00°
Fractional positions:
Ti1 0.000 0.000 0.000
Cd1 0.746 0.746 0.491
Cd2 0.254 0.254 0.509
Pd1 0.393 0.893 0.786
Pd2 0.893 0.393 0.786
Pd3 0.607 0.107 0.214
Pd4 0.107 0.607 0.214